A) 8
Lattice="7.483 0.000 0.000 0.000 7.483 0.000 3.742 3.742 2.788" Properties=species:S:1:pos:R:3 comment="NaLaCo2 PBE relaxed" spacegroup="No. 122" pbc="T T T"
Co 5.612 5.592 2.091
Co 1.850 5.612 0.697
Co 5.633 1.871 0.697
Co 9.354 9.375 2.091
La 7.483 3.742 1.394
La 0.000 0.000 0.000
Na 3.742 7.483 1.394
Na 3.742 3.742 0.000


B) 4
Lattice="0.000 3.336 3.336 3.336 0.000 3.336 3.336 3.336 0.000" Properties=species:S:1:pos:R:3 comment="NaLaCo2 PBE relaxed" spacegroup="No. 225" pbc="T T T"
La 3.336 3.336 3.336
Co 1.668 1.668 1.668
Co 5.004 5.004 5.004
Na 0.000 0.000 0.000


Quick one: least stable of them? A)


A) 5
Lattice="-1.589 4.427 -0.772 -1.823 -1.383 -4.181 -4.108 -1.099 2.154" Properties=species:S:1:pos:R:3 comment="LaNb3Co PBE relaxed" spacegroup="No. 221" pbc="T T T"
Nb -2.054 -0.550 1.077
Nb -0.911 -0.692 -2.091
Nb -0.795 2.214 -0.386
Co 0.000 0.000 0.000
La -3.760 0.972 -1.399


B) 5
Lattice="-0.442 -4.795 -0.426 1.863 -0.565 4.424 -4.438 0.240 1.900" Properties=species:S:1:pos:R:3 comment="LaNb3Co PBE relaxed" spacegroup="No. 221" pbc="T T T"
Nb -0.221 -2.397 -0.213
Nb 0.932 -0.283 2.212
Nb -2.219 0.120 0.950
Co -1.508 -2.560 2.949
La 0.000 0.000 0.000


Quick one: least stable of them? B)


A) 12
Lattice="6.040 0.000 -0.503 0.000 7.465 0.000 -2.317 -3.733 8.753" Properties=species:S:1:pos:R:3 comment="LaNd4Co PBE relaxed" spacegroup="No. 12" pbc="T T T"
La 3.452 3.733 4.891
La 0.271 0.000 3.359
Nd 0.541 -1.869 6.516
Nd 3.182 1.864 1.734
Nd 3.477 0.000 5.323
Nd 0.246 3.733 2.927
Nd 0.000 5.694 0.000
Nd 0.541 1.869 6.516
Nd 3.182 5.602 1.734
Nd 0.000 1.772 0.000
Co 1.913 3.733 -0.149
Co 1.810 0.000 8.399


B) 6
Lattice="4.767 -0.475 0.000 0.475 4.767 0.000 0.000 0.000 9.232" Properties=species:S:1:pos:R:3 comment="LaNd4Co PBE relaxed" spacegroup="No. 123" pbc="T T T"
Nd 0.237 2.383 2.954
Nd 2.858 4.529 2.954
Nd 2.383 -0.237 6.279
Nd 5.004 1.909 6.279
La 0.000 0.000 0.000
Co 2.621 2.146 4.616


Quick one: least stable of them? B)


A) 6
Lattice="3.826 0.492 0.077 1.053 7.016 0.554 -1.896 -1.477 6.278" Properties=species:S:1:pos:R:3 comment="LaNdCo PBE relaxed" spacegroup="No. 2" pbc="T T T"
La 0.402 0.192 5.832
La 1.675 6.080 2.939
Co -0.183 5.084 4.550
Co 2.260 1.188 4.220
Nd 1.904 3.716 5.846
Nd 0.173 2.556 2.924


B) 3
Lattice="4.865 0.000 0.000 2.432 4.213 0.000 2.432 1.404 3.972" Properties=species:S:1:pos:R:3 comment="LaNdCo PBE relaxed" spacegroup="No. 216" pbc="T T T"
Nd 0.000 0.000 0.000
La 4.865 2.809 1.986
Co 2.432 1.404 0.993


C) 12
Lattice="-2.676 -0.815 6.087 6.338 -3.876 2.267 5.652 3.648 2.973" Properties=species:S:1:pos:R:3 comment="LaNdCo PBE relaxed" spacegroup="No. 14" pbc="T T T"
La 1.180 -0.148 6.395
La 1.873 -0.862 2.917
La 7.441 -0.181 8.410
La 8.134 -0.894 4.932
Co 5.102 0.388 9.482
Co 6.649 -3.008 6.391
Co 4.212 -1.430 1.845
Co 2.666 1.965 4.936
Nd 4.924 0.608 4.016
Nd 4.390 -1.650 7.311
Nd 4.100 2.128 7.544
Nd 5.214 -3.170 3.783


Quick one: least stable of them? B)


A) 3
Lattice="-0.985 -3.148 -1.173 3.051 -1.350 1.061 -3.717 0.868 6.014" Properties=species:S:1:pos:R:3 comment="LaNdCo PBE relaxed" spacegroup="No. 107" pbc="T T T"
Co 0.141 -2.708 1.925
La -1.557 -0.801 3.456
Nd -0.235 -0.121 0.521


B) 3
Lattice="6.450 0.000 0.000 0.000 4.032 0.000 0.000 -2.016 3.492" Properties=species:S:1:pos:R:3 comment="LaNdCo PBE relaxed" spacegroup="No. 156" pbc="T T T"
Nd 1.489 0.000 2.328
Co 6.420 0.000 0.000
La 4.990 2.016 1.164


Quick one: least stable of them? A)


A) 6
Lattice="5.155 0.000 0.000 2.578 4.465 0.000 2.578 1.488 4.209" Properties=species:S:1:pos:R:3 comment="LaNdCo4 PBE relaxed" spacegroup="No. 216" pbc="T T T"
Nd 2.578 1.488 1.052
Co 5.155 1.489 2.631
Co 5.155 2.977 0.527
Co 6.444 3.720 2.631
Co 3.867 3.720 2.631
La 0.000 0.000 0.000


B) 6
Lattice="3.678 0.002 1.353 1.460 5.321 1.701 -0.035 0.087 5.774" Properties=species:S:1:pos:R:3 comment="LaNdCo4 PBE relaxed" spacegroup="No. 71" pbc="T T T"
Nd 2.552 2.705 4.414
Co 3.584 3.173 7.287
Co 1.520 2.236 1.541
Co 1.022 0.491 2.898
Co 4.082 4.919 5.929
La 3.678 0.002 1.353


Quick one: least stable of them? A)